# 1
This record from Alexandria describes a relaxed BeReNi2 crystal. The functional is GGA-PBEsol.

The structure in extended XYZ format:
```
4
Lattice="1.294 0.747 7.696 -1.294 0.747 7.696 0.000 -1.494 7.696" Properties=species:S:1:pos:R:3 pbc="T T T"
Be 0.000 0.000 0.000
Re 0.000 0.000 11.544
Ni 0.000 0.000 5.971
Ni 0.000 0.000 17.118
```

DFT formation energy (eV per atom): -0.0062
Volume (Å³/cell): 45
SG: R-3m

# 2
This record from Alexandria describes a relaxed Be2ReNi crystal. The functional is GGA-PBEsol.

The structure in extended XYZ format:
```
4
Lattice="0.000 2.715 2.715 2.715 0.000 2.715 2.715 2.715 0.000" Properties=species:S:1:pos:R:3 pbc="T T T"
Be 1.357 1.357 1.357
Be 4.072 4.072 4.072
Re 0.000 0.000 0.000
Ni 2.715 2.715 2.715
```

DFT formation energy (eV per atom): 0.0209
Volume (Å³/cell): 40
Polymorph energy (0 for the lowest one) (kJ per mole of atoms): 19.62
SG: Fm-3m